# 1
CsCd2Si2 | GGA-PBE | optimized geometry

- Total energy: -25.7 eV for the cell shown
- Size of the total moment: 0.000 μB per atom
- Density of states at the Fermi level: 0.450 states/eV/atom
- ΔE_f (raw): 132 meV/atom

Cell lengths 4.9225, 4.9225, 10.7240 Å; angles 90.00, 90.00, 90.00 degrees
With the nearest neighbours (Å) after each atom.
Space group I4/mmm (No. 139)
Asymmetric unit:
Cs  0.0000  0.0000  0.0000 (multiplicity 2)  8 Cd 3.64, 8 Si 3.68
Cd  0.0000  0.5000  0.2500 (multiplicity 4)  4 Si 2.87
Si  0.0000  0.0000  0.3884 (multiplicity 4)  1 Si 2.39


# 2
CsCd3Si | GGA-PBE | optimized geometry

- Total energy: -7.9 eV for the cell shown
- Size of the total moment: 0.000 μB per atom
- Density of states at the Fermi level: 0.985 states/eV/atom
- ΔE_f (raw): 229 meV/atom

Cell lengths 5.5150, 5.5150, 5.5150 Å; angles 90.00, 90.00, 90.00 degrees
With the nearest neighbours (Å) after each atom.
Space group Pm-3m (No. 221)
Asymmetric unit:
Cs  0.0000  0.0000  0.0000 (multiplicity 1)  12 Cd 3.90
Cd  0.0000  0.5000  0.5000 (multiplicity 3)  2 Si 2.76
Si  0.5000  0.5000  0.5000 (multiplicity 1)  6 Cd 2.76


> Number 1 is which compound?

CsCd2Si2